DyY2Fe9 | the Alexandria database | PBE | optimized geometry; space group = No. 166
1.0
2.552 1.473 8.080
-2.552 1.473 8.080
0.000 -2.946 8.080
Dy Y Fe
1 2 9
Cartesian
0.000 0.000 0.000
0.000 0.000 3.438
0.000 0.000 20.800
-1.273 -0.735 10.043
0.000 0.000 8.066
0.000 -1.470 14.195
-1.273 0.735 14.195
0.000 0.000 12.119
1.273 -0.735 10.043
0.000 1.470 10.043
0.000 0.000 16.173
1.273 0.735 14.195



Dy2YFe | the Alexandria database | PBE | optimized geometry; space group = No. 123
1.0
3.350 0.000 0.000
0.000 3.350 0.000
0.000 0.000 9.070
Dy Y Fe
2 1 1
Cartesian
0.000 0.000 1.612
0.000 0.000 7.458
1.675 1.675 4.535
1.675 1.675 0.000



Number 1: raw total energy -7.872 eV/atom, formation enthalpy at 0 K -0.06 eV per atom, D(E_F) 1.209 states/eV/atom. Number 2: raw total energy -5.935 eV/atom, formation enthalpy at 0 K 0.10 eV per atom, D(E_F) 0.997 states/eV/atom.